No. 1
Compound: K3Ac2UO6
Source: the Alexandria database
Functional: PBE
Structure: optimized geometry

Cell: 6.6135 6.6135 6.8637 Å, 98.05 98.05 120.46°
Each line ends with the local moment (μB).
Sites, in units of the cell vectors:
K  0.1538  0.8462  0.5000  0.02
K  0.8462  0.1538  0.5000  0.02
K  0.5000  0.5000  0.5000  0.03
Ac  0.3332  0.6668  0.0000  0.07
Ac  0.6668  0.3332  0.0000  0.07
U  0.0000  0.0000  0.0000  1.78
O  0.9481  0.6540  0.8333  -0.03
O  0.7514  0.7514  0.1752  -0.02
O  0.0519  0.3460  0.1667  -0.03
O  0.6540  0.9481  0.8333  -0.03
O  0.2486  0.2486  0.8248  -0.02
O  0.3460  0.0519  0.1667  -0.03

Results
Spin magnetization: 0.217 μB/atom
Raw total energy: -81.827 eV per formula unit
DOS(E_F): 6.2 states/eV/cell

No. 2
Compound: K4AcU3O12
Source: the Alexandria database
Functional: PBE
Structure: optimized geometry

Cell: 7.6535 7.6535 7.6535 Å, 109.47 109.47 109.47°
Each line ends with the local moment (μB).
Sites, in units of the cell vectors:
K  0.5000  0.5000  0.5000  0.00
K  0.0000  0.0000  0.5000  0.00
K  0.5000  0.0000  0.0000  0.00
K  0.0000  0.5000  0.0000  0.00
Ac  0.0000  0.0000  0.0000  -0.01
U  0.5000  0.0000  0.5000  0.37
U  0.5000  0.5000  0.0000  0.37
U  0.0000  0.5000  0.5000  0.37
O  0.2500  0.5000  0.7500  -0.01
O  0.7253  0.0000  0.7253  -0.01
O  0.2747  0.0000  0.2747  -0.01
O  0.7500  0.5000  0.2500  -0.01
O  0.7253  0.7253  0.0000  -0.01
O  0.2747  0.2747  0.0000  -0.01
O  0.7500  0.2500  0.5000  -0.01
O  0.2500  0.7500  0.5000  -0.01
O  0.5000  0.2500  0.7500  -0.01
O  0.0000  0.7253  0.7253  -0.01
O  0.5000  0.7500  0.2500  -0.01
O  0.0000  0.2747  0.2747  -0.01

Results
Spin magnetization: 0.050 μB/atom
Raw total energy: -159.499 eV per formula unit
DOS(E_F): 8.3 states/eV/cell

No. 3
Compound: K2AcU3O12
Source: the Alexandria database
Functional: PBE
Structure: optimized geometry

Cell: 7.3664 7.3664 7.3664 Å, 68.29 68.29 68.29°
Sites, in units of the cell vectors:
K  0.6236  0.6236  0.6236
K  0.3764  0.3764  0.3764
Ac  0.0000  0.0000  0.0000
U  0.5000  0.0000  0.0000
U  0.0000  0.5000  0.0000
U  0.0000  0.0000  0.5000
O  0.2563  0.2563  0.9079
O  0.8705  0.8705  0.4198
O  0.4198  0.8705  0.8705
O  0.9079  0.2563  0.2563
O  0.8705  0.4198  0.8705
O  0.2563  0.9079  0.2563
O  0.7437  0.7437  0.0921
O  0.1295  0.1295  0.5802
O  0.5802  0.1295  0.1295
O  0.0921  0.7437  0.7437
O  0.1295  0.5802  0.1295
O  0.7437  0.0921  0.7437

Results
Spin magnetization: 0.000 μB/atom
Raw total energy: -151.235 eV per formula unit
DOS(E_F): 17.5 states/eV/cell

No. 4
Compound: K3AcU2O9
Source: the Alexandria database
Functional: PBE
Structure: optimized geometry

Cell: 6.2708 6.2708 7.7648 Å, 90.00 90.00 120.00°
Sites, in units of the cell vectors:
K  0.3333  0.6667  0.6752
K  0.0000  0.0000  0.0000
K  0.6667  0.3333  0.3248
Ac  0.0000  0.0000  0.5000
U  0.3333  0.6667  0.1571
U  0.6667  0.3333  0.8429
O  0.8197  0.1803  0.6920
O  0.8197  0.6394  0.6920
O  0.3606  0.1803  0.6920
O  0.6394  0.8197  0.3080
O  0.1803  0.3606  0.3080
O  0.1803  0.8197  0.3080
O  0.5000  0.0000  0.0000
O  0.0000  0.5000  0.0000
O  0.5000  0.5000  0.0000

Results
Spin magnetization: 0.000 μB/atom
Raw total energy: -117.439 eV per formula unit
DOS(E_F): 0.0 states/eV/cell

No. 5
Compound: KAc2UO6
Source: the Alexandria database
Functional: PBE
Structure: optimized geometry

Cell: 6.1660 6.4061 9.7023 Å, 90.00 89.97 90.00°
Each line ends with the local moment (μB).
Sites, in units of the cell vectors:
K  0.5000  0.0000  0.0000  0.00
K  0.0000  0.5000  0.5000  0.00
Ac  0.0003  0.9993  0.2852  0.00
Ac  0.5003  0.5007  0.7852  0.00
Ac  0.9997  0.0007  0.7148  0.00
Ac  0.4997  0.4993  0.2148  0.00
U  0.5000  0.0000  0.5000  1.06
U  0.0000  0.5000  0.0000  1.06
O  0.3038  0.6529  0.0005  -0.02
O  0.8038  0.8471  0.5005  -0.02
O  0.6962  0.3471  0.9995  -0.02
O  0.1962  0.1529  0.4995  -0.02
O  0.3455  0.8020  0.3418  -0.02
O  0.8455  0.6980  0.8418  -0.02
O  0.6545  0.1980  0.6582  -0.02
O  0.1545  0.3020  0.1582  -0.02
O  0.8460  0.6953  0.1598  -0.02
O  0.3460  0.8047  0.6598  -0.02
O  0.1540  0.3047  0.8402  -0.02
O  0.6540  0.1953  0.3402  -0.02

Results
Spin magnetization: 0.100 μB/atom
Raw total energy: -81.578 eV per formula unit

> Among the records above, which one has the highest raw total energy?

KAc2UO6